Record 1
La2PrTmSc | PBE | relaxed

Cell: 6.500 16.062 6.502 Å, 90.00 90.00 90.00°
Space group Cmcm (No. 63)
Symmetry-distinct sites (fractional):
La  0.247  0.000  0.000 x8
Pr  0.000  0.337  0.250 x4
Tm  0.000  0.246  0.750 x4
Sc  0.000  0.155  0.250 x4

DFT total energy (eV/cell): -94.3
Formation energy from the elements (eV/atom): 0.373
Total moment (μB per formula unit): 0.00

Record 2
LaPr2TmSc | PBE | relaxed

Cell: 6.325 7.710 6.776 Å, 90.00 90.00 90.00°
Space group Pmma (No. 51)
Symmetry-distinct sites (fractional):
La  0.250  0.000  0.204 x2
Pr  0.250  0.209  0.726 x4
Tm  0.250  0.500  0.098 x2
Sc  0.000  0.500  0.500 x2

DFT total energy (eV/cell): -48.8
Formation energy from the elements (eV/atom): 0.175
Total moment (μB per formula unit): 0.00

Record 3
La5Pr2TmSc | PBE | relaxed

Cell: 8.465 8.465 17.781 Å, 90.00 90.00 90.00°
Space group I4/mcm (No. 140)
Symmetry-distinct sites (fractional):
La  0.000  0.000  0.000 x4
La  0.223  0.277  0.146 x16
Pr  0.128  0.372  0.500 x8
Tm  0.000  0.000  0.250 x4
Sc  0.000  0.500  0.250 x4

DFT total energy (eV/cell): -170.5
Formation energy from the elements (eV/atom): 0.263
Total moment (μB per formula unit): 0.00

- The lowest formation energy from the elements belongs to which entry?
  LaPr2TmSc